The following is a DFT calculation (GGA-PBE) of crystalline RbEu3Ag at its relaxed geometry.

Structure (POSCAR):
```
RbEu3Ag
1.0
-2.5986 3.3539 -4.5598
0.1004 -4.9893 -3.7270
-5.6596 -1.6284 2.0276
Eu Rb Ag
3 1 1
Cartesian
-1.2993 1.6770 -2.2799
0.0502 -2.4946 -1.8635
-2.8298 -0.8142 1.0138
-4.0789 -1.6319 -3.1296
0.0000 0.0000 0.0000
```

Space-group type   No. 221
Uncorrected energy   -6.88 eV per atom
DOS(E_F)   7.22 states/eV/atom